First-principles (PBE-GGA) data for an optimized crystal structure of Nd4Al3Si, as listed in Alexandria via LeMat-Bulk.

Summary:
formation energy (no corrections) = -0.472 eV per atom

a b c (Å): 4.5262 4.1367 11.4836
angles (deg): 90.00 90.00 90.00
Closest atoms and distances in Å follow each position.
Positions (direct):
Si 0.5000 0.5000 0.0709  2 Al 2.58
Nd 0.5000 0.5000 0.3520  6 Al 3.18-3.37, 1 Si 3.23
Nd 0.0000 0.5000 0.8618  5 Al 3.18-3.36, 2 Si 3.30
Nd 0.0000 0.0000 0.1395  4 Si 3.17, 3 Al 3.25-3.30
Nd 0.5000 0.0000 0.6435  7 Al 3.18-3.37
Al 0.0000 0.5000 0.5692  2 Al 2.64
Al 0.0000 0.0000 0.4264  2 Al 2.64
Al 0.5000 0.0000 0.9368  2 Si 2.58